No. 1
5
Lattice="5.647 0.000 0.000 0.000 5.647 0.000 0.000 0.000 4.456" Properties=species:S:1:pos:R:3 comment="La2SiPtRh (PBE, relaxed)" final_energy_ev_per_cell=-29.977 e_form_raw_ev_per_atom=-0.26 vol_a3_per_cell=142.07 dos_ef_per_ev_fu=4.77 sg=P4/mmm pbc="T T T"
La 2.823 0.000 0.000
La 0.000 2.823 0.000
Rh 2.823 2.823 2.228
Pt 0.000 0.000 0.000
Si 0.000 0.000 2.228

No. 2
12
Lattice="3.973 -0.024 1.324 0.032 5.989 0.011 -0.003 -0.012 6.632" Properties=species:S:1:pos:R:3 comment="Ti6BeCo5 (PBE, relaxed)" final_energy_ev_per_cell=-90.661 formation_enthalpy_0k_ev_per_atom=-0.336 vol_a3_per_cell=157.84 dos_ef_per_ev_fu=11.20 sg=Cmmm pbc="T T T"
Ti 1.995 1.481 0.665
Ti 3.335 4.470 3.321
Ti 0.684 4.482 4.651
Ti 3.319 1.472 3.315
Ti 0.668 1.484 4.646
Ti 2.011 4.484 0.670
Co 2.627 -0.024 5.363
Co 0.016 2.995 0.005
Co 1.333 2.983 2.678
Co 1.343 -0.012 2.592
Co 2.670 2.971 5.288
Be 0.000 0.000 0.000

No. 3
10
Lattice="7.316 0.000 -0.001 0.000 7.316 -0.001 -3.658 -3.658 5.178" Properties=species:S:1:pos:R:3 comment="La6Bi2CN (PBE, relaxed)" final_energy_ev_per_cell=-62.450 e_form_raw_ev_per_atom=-0.76 vol_a3_per_cell=277.06 dos_ef_per_ev_fu=6.28 sg=Fm-3m pbc="T T T"
Bi 3.658 0.003 2.587
Bi 0.000 3.661 2.587
La 1.820 1.824 0.000
La 1.837 -1.834 5.175
La 1.837 1.841 5.173
La -1.838 1.840 5.175
La 0.000 0.004 2.576
La 3.657 3.661 2.599
N 3.658 -3.655 5.176
C -0.001 0.003 5.176

No. 4
5
Lattice="5.420 0.000 0.000 0.000 5.420 0.000 0.000 0.000 5.420" Properties=species:S:1:pos:R:3 comment="NaMoBr3 (PBE, relaxed)" final_energy_ev_per_cell=-19.505 e_form_raw_ev_per_atom=-0.47 vol_a3_per_cell=159.25 dos_ef_per_ev_fu=0.66 sg=Pm-3m relative_energy_mev_per_atom=146 pbc="T T T"
Br 2.710 0.000 0.000
Br 0.000 2.710 0.000
Br 0.000 0.000 2.710
Mo 0.000 0.000 0.000
Na 2.710 2.710 2.710

No. 5
5
Lattice="-5.720 0.147 -1.937 -1.919 -1.358 5.565 -0.300 5.885 1.333" Properties=species:S:1:pos:R:3 comment="CsSn3Ru (PBE, relaxed)" final_energy_ev_per_cell=-10.786 formation_enthalpy_0k_ev_per_atom=2.270 vol_a3_per_cell=220.46 dos_ef_per_ev_fu=6.06 sg=Pm-3m relative_energy_mev_per_atom=2153 pbc="T T T"
Sn -0.150 2.942 0.666
Sn -0.959 -0.679 2.782
Sn -2.860 0.073 -0.968
Cs 0.000 0.000 0.000
Ru -3.970 2.337 2.480

No. 6
8
Lattice="3.640 0.000 0.000 0.000 3.640 0.000 0.000 0.000 8.621" Properties=species:S:1:pos:R:3 comment="LiZnCoP (PBE, relaxed)" final_energy_ev_per_cell=-34.568 formation_enthalpy_0k_ev_per_atom=-0.395 vol_a3_per_cell=114.22 dos_ef_per_ev_fu=2.35 sg=P4/nmm pbc="T T T"
Zn 2.730 0.910 4.311
Zn 0.910 2.730 4.311
Li 2.730 2.730 2.021
Li 0.910 0.910 6.600
Co 0.910 2.730 0.000
Co 2.730 0.910 0.000
P 2.730 2.730 7.352
P 0.910 0.910 1.269